1.
# InHgAu4 (PBE, relaxed)
data_InHgAu4
_symmetry_space_group_name_H-M 'F -4 3 m'
_symmetry_Int_Tables_number 216
_symmetry_space_group_name_Hall 'F -4 2 3'
_cell_length_a 7.9636
_cell_length_b 7.9636
_cell_length_c 7.9636
_cell_angle_alpha 90.00
_cell_angle_beta 90.00
_cell_angle_gamma 90.00
loop_
_atom_site_label
_atom_site_fract_x
_atom_site_fract_y
_atom_site_fract_z
_atom_site_occupancy
In1 0.0000 0.0000 0.0000 1
Hg1 0.2500 0.2500 0.2500 1
Au1 0.1249 0.1249 0.6249 1
# **Calculated formation energy**: -0.017 eV/atom
# **Polymorph energy (0 for the lowest one)**: 0 meV per atom
# **Density of states at the Fermi level**: 3.20 states/eV per cell



2.
# Rb3O2F2 (PBE, relaxed)
data_Rb3O2F2
_symmetry_space_group_name_H-M 'C 1 2/m 1'
_symmetry_Int_Tables_number 12
_cell_length_a 13.7993
_cell_length_b 5.7270
_cell_length_c 4.2866
_cell_angle_alpha 90.00
_cell_angle_beta 108.03
_cell_angle_gamma 90.00
loop_
_symmetry_equiv_pos_as_xyz
'x,y,z'
'-x,-y,-z'
'-x,y,-z'
'x,-y,z'
'x+1/2,y+1/2,z'
'-x+1/2,-y+1/2,-z'
'-x+1/2,y+1/2,-z'
'x+1/2,-y+1/2,z'
loop_
_atom_site_label
_atom_site_fract_x
_atom_site_fract_y
_atom_site_fract_z
_atom_site_occupancy
Rb1 0.0000 0.0000 0.0000 1
Rb2 0.1944 0.5000 0.6945 1
O1 0.0512 0.5000 0.0525 1
F1 0.1652 0.0000 0.6652 1
# **Density of states at the Fermi level**: 2.01 states/eV per cell
# **Uncorrected formation energy**: -1.867 eV/atom



3.
# Be2ReOs (PBE, relaxed)
data_Be2ReOs
_symmetry_space_group_name_H-M 'P 1 2/m 1'
_symmetry_Int_Tables_number 10
_cell_length_a 2.6359
_cell_length_b 3.7964
_cell_length_c 4.8659
_cell_angle_alpha 90.00
_cell_angle_beta 97.34
_cell_angle_gamma 90.00
loop_
_symmetry_equiv_pos_as_xyz
'x,y,z'
'-x,-y,-z'
'-x,y,-z'
'x,-y,z'
loop_
_atom_site_label
_atom_site_fract_x
_atom_site_fract_y
_atom_site_fract_z
_atom_site_occupancy
Be1 0.1693 0.0000 0.2407 1
Re1 0.5000 0.5000 0.0000 1
Os1 0.0000 0.5000 0.5000 1
# **Calculated formation energy**: 0.115 eV/atom
# **Polymorph energy (0 for the lowest one)**: 264 meV per atom
# **Density of states at the Fermi level**: 2.53 states/eV per cell



4.
# LaPtI2 (PBE, relaxed)
data_LaPtI2
_symmetry_space_group_name_H-M 'I -4 2 d'
_symmetry_Int_Tables_number 122
_symmetry_space_group_name_Hall 'I -4 2bw'
_cell_length_a 6.5735
_cell_length_b 6.5735
_cell_length_c 13.9684
_cell_angle_alpha 90.00
_cell_angle_beta 90.00
_cell_angle_gamma 90.00
loop_
_atom_site_label
_atom_site_fract_x
_atom_site_fract_y
_atom_site_fract_z
_atom_site_occupancy
La1 0.0000 0.0000 0.0000 1
Pt1 0.0000 0.0000 0.5000 1
I1 0.1937 0.2500 0.6250 1
# **Polymorph energy (0 for the lowest one)**: 222 meV per atom
# **Density of states at the Fermi level**: 15.14 states/eV per cell
# **Uncorrected formation energy**: -0.270 eV/atom



5.
# TaGa6 (PBE, relaxed)
data_TaGa6
_symmetry_space_group_name_H-M 'I m -3 m'
_symmetry_Int_Tables_number 229
_symmetry_space_group_name_Hall '-I 4 2 3'
_cell_length_a 6.9606
_cell_length_b 6.9606
_cell_length_c 6.9606
_cell_angle_alpha 90.00
_cell_angle_beta 90.00
_cell_angle_gamma 90.00
loop_
_atom_site_label
_atom_site_fract_x
_atom_site_fract_y
_atom_site_fract_z
_atom_site_occupancy
Ta1 0.0000 0.0000 0.0000 1
Ga1 0.0000 0.2500 0.5000 1
# **Calculated formation energy**: 0.975 eV/atom
# **Density of states at the Fermi level**: 12.22 states/eV per cell



6.
# NdZr2PtN4 (PBE, relaxed)
data_NdZr2PtN4
_symmetry_space_group_name_H-M 'C m c m'
_symmetry_Int_Tables_number 63
_symmetry_space_group_name_Hall '-C 2c 2'
_cell_length_a 3.3130
_cell_length_b 11.3960
_cell_length_c 11.5717
_cell_angle_alpha 90.00
_cell_angle_beta 90.00
_cell_angle_gamma 90.00
loop_
_atom_site_label
_atom_site_fract_x
_atom_site_fract_y
_atom_site_fract_z
_atom_site_occupancy
Nd1 0.0000 0.1166 0.2500 1
Zr1 0.0000 0.3695 0.0498 1
Pt1 0.0000 0.1477 0.7500 1
N1 0.0000 0.0000 0.0000 1
N2 0.0000 0.2724 0.6075 1
N3 0.0000 0.4623 0.2500 1
# **Density of states at the Fermi level**: 7.06 states/eV per cell
# **Uncorrected formation energy**: -0.984 eV/atom



density of states at the Fermi level of number 3 (Be2ReOs)?
2.53 states/eV per cell